! RbVF3 | Alexandria via LeMat-Bulk | GGA+U | relaxed; values from VASP
! DFT total energy, eV/atom: -3.7185
! Theoretical density, Mg/m³: 2.73
! Crystal system: cubic
! SG: No. 221
&SYSTEM
  ibrav = 0, nat = 5, ntyp = 3
/
ATOMIC_SPECIES
F 19.00 F.upf
V 50.94 V.upf
Rb 85.47 Rb.upf
ATOMIC_POSITIONS crystal
F 0.000 0.000 0.500
F 0.000 0.500 0.000
F 0.500 0.000 0.000
V 0.500 0.500 0.500
Rb 0.000 0.000 0.000
CELL_PARAMETERS angstrom
-2.869 -2.424 -3.150
3.975 -1.733 -2.286
0.016 -3.892 2.980